# 1
MgZr3I: optimized geometry, GGA-PBE.

Lattice parameters (Å, degrees): 5.269 5.269 5.269 90.00 90.00 90.00
Element x y z (fractional)
Mg: 0.000 0.000 0.000
Zr: 0.000 0.500 0.500
Zr: 0.500 0.000 0.500
Zr: 0.500 0.500 0.000
I: 0.500 0.500 0.500

Output
The calculation puts the energy above the most stable polymorph in this dataset at 0.00 eV per formula unit. The theoretical density comes out at 4.8 g cm⁻³. As for the total energy: -24.76 eV/f.u.

=====

# 2
InHRh3: optimized geometry, GGA-PBE.

Lattice parameters (Å, degrees): 4.006 4.006 4.006 90.00 90.00 90.00
Element x y z (fractional)
In: 0.000 0.000 0.000
H: 0.500 0.500 0.500
Rh: 0.000 0.500 0.500
Rh: 0.500 0.000 0.500
Rh: 0.500 0.500 0.000

Output
The calculation puts the energy above the most stable polymorph in this dataset at 0.00 eV per formula unit. The theoretical density comes out at 11.0 g cm⁻³. As for the total energy: -29.16 eV/f.u.

=====

# 3
TbScBe2: optimized geometry, GGA-PBE.

Lattice parameters (Å, degrees): 4.677 4.677 4.677 60.00 60.00 60.00
Element x y z (fractional)
Tb: 0.000 0.000 0.000
Sc: 0.500 0.500 0.500
Be: 0.250 0.250 0.250
Be: 0.750 0.750 0.750

Output
The calculation puts the energy above the most stable polymorph in this dataset at 0.06 eV per formula unit. As for the formation energy: 57 meV/atom. The theoretical density comes out at 5.1 g cm⁻³. As for the total energy: -18.19 eV/f.u.